Entry 1:
First-principles (PBE) data for a relaxed MgPAu2 crystal, as listed in Alexandria via LeMat-Bulk.

Results
- Symmetry: Immm, No. 71
- DFT formation energy: -0.15 eV per atom
- Total magnetic moment: 0.000 μB/cell
- E above lowest polymorph: 13 meV/atom

CIF file:
```
data_MgPAu2
_symmetry_space_group_name_H-M 'P 1'
_symmetry_Int_Tables_number 1
_symmetry_space_group_name_Hall 'P 1'
_cell_length_a 5.704
_cell_length_b 5.704
_cell_length_c 5.704
_cell_angle_alpha 144.18
_cell_angle_beta 137.70
_cell_angle_gamma 56.59
loop_
_atom_site_label
_atom_site_fract_x
_atom_site_fract_y
_atom_site_fract_z
_atom_site_occupancy
Au1 0.047 0.047 0.000 1
Au2 0.453 0.453 0.000 1
Mg1 0.750 0.250 0.500 1
P1 0.250 0.750 0.500 1
```

Entry 2:
First-principles (PBE) data for a relaxed LiNiAs2 crystal, as listed in Alexandria via LeMat-Bulk.

Results
- Symmetry: R3m, No. 160
- DFT formation energy: -0.34 eV per atom
- Total magnetic moment: 0.000 μB/cell
- E above lowest polymorph: 0 meV/atom

CIF file:
```
data_LiNiAs2
_symmetry_space_group_name_H-M 'P 1'
_symmetry_Int_Tables_number 1
_symmetry_space_group_name_Hall 'P 1'
_cell_length_a 3.849
_cell_length_b 3.849
_cell_length_c 5.506
_cell_angle_alpha 69.54
_cell_angle_beta 69.54
_cell_angle_gamma 60.00
loop_
_atom_site_label
_atom_site_fract_x
_atom_site_fract_y
_atom_site_fract_z
_atom_site_occupancy
Li1 0.495 0.495 0.516 1
Ni1 0.670 0.670 0.990 1
As1 0.069 0.069 0.793 1
As2 0.266 0.266 0.201 1
```

Number 1: calculated volume 18.13 Å³ per atom. Number 2: calculated volume 16.16 Å³ per atom.